Entry 1:
La3Co | PBE-GGA | relaxed

Cell lengths 7.0865, 10.0956, 6.6166 Å; angles 90.00, 90.00, 90.00 degrees
Space group Pnma (No. 62)
One atom of each set of equivalent atoms:
La 0.0615 0.2500 0.1417
La 0.1561 0.0708 0.6719
Co 0.1221 0.7500 0.4356

Summary:
Energy relative to the elements, kJ per mole of atoms: -11
DOS at the Fermi energy, states/eV per cell: 19.3

***

Entry 2:
La2Co | PBE-GGA | relaxed

Cell lengths 4.1107, 4.1107, 18.3839 Å; angles 90.00, 90.00, 120.00 degrees
Space group R-3m (No. 166, hexagonal axes)
One atom of each set of equivalent atoms:
La 0.0000 0.0000 0.2455
Co 0.0000 0.0000 0.5000

Summary:
Energy relative to the elements, kJ per mole of atoms: -11
DOS at the Fermi energy, states/eV per cell: 9.1

***

Entry 3:
La3Co | PBE-GGA | relaxed

Cell lengths 3.7270, 7.0629, 9.4636 Å; angles 90.00, 90.00, 90.00 degrees
Space group Pmmn (No. 59, origin choice 2)
One atom of each set of equivalent atoms:
La 0.2500 0.0184 0.1719
La 0.2500 0.2500 0.5304
Co 0.2500 0.7500 0.6699

Summary:
Energy relative to the elements, kJ per mole of atoms: -1
DOS at the Fermi energy, states/eV per cell: 9.0

***

Entry 4:
La3Co | PBE-GGA | relaxed

Cell lengths 4.4345, 4.4345, 10.9449 Å; angles 90.00, 90.00, 90.00 degrees
Space group I4/mmm (No. 139)
One atom of each set of equivalent atoms:
La 0.0000 0.0000 0.0000
La 0.0000 0.5000 0.2500
Co 0.0000 0.0000 0.5000

Summary:
Energy relative to the elements, kJ per mole of atoms: 28
DOS at the Fermi energy, states/eV per cell: 10.1

***

Entry 5:
LaCo5 | PBE-GGA | relaxed

Cell lengths 3.5685, 3.5338, 14.5476 Å; angles 90.00, 90.00, 90.00 degrees
Space group Amm2 (No. 38)
One atom of each set of equivalent atoms:
La 0.0000 0.0000 0.0000
Co 0.0000 0.0000 0.2894
Co 0.0000 0.0000 0.6733
Co 0.5000 0.0000 0.1699
Co 0.5000 0.0000 0.3924
Co 0.5000 0.0000 0.7861

Summary:
Energy relative to the elements, kJ per mole of atoms: 22
DOS at the Fermi energy, states/eV per cell: 18.6

***

Entry 6:
La5Co2 | PBE-GGA | relaxed

Cell lengths 16.8470, 6.6844, 7.1091 Å; angles 90.00, 94.34, 90.00 degrees
Space group C2/c (No. 15)
One atom of each set of equivalent atoms:
La 0.0000 0.0776 0.2500
La 0.0931 0.3889 0.8976
La 0.2129 0.0682 0.3401
Co 0.1088 0.2083 0.5863

Summary:
Energy relative to the elements, kJ per mole of atoms: -12
DOS at the Fermi energy, states/eV per cell: 31.6

***

Entry 7:
LaCo3 | PBE-GGA | relaxed

Cell lengths 3.5386, 3.5386, 5.6212 Å; angles 90.00, 90.00, 90.00 degrees
Space group P4mm (No. 99)
One atom of each set of equivalent atoms:
La 0.0000 0.0000 0.0000
Co 0.0000 0.5000 0.5394
Co 0.5000 0.5000 0.2812

Summary:
Energy relative to the elements, kJ per mole of atoms: 27
DOS at the Fermi energy, states/eV per cell: 4.4

***

Entry 8:
La2Co17 | PBE-GGA | relaxed

Cell lengths 8.4156, 8.4156, 12.2310 Å; angles 90.00, 90.00, 120.00 degrees
Space group R-3m (No. 166, hexagonal axes)
One atom of each set of equivalent atoms:
La 0.0000 0.0000 0.1547
Co 0.0000 0.0000 0.4043
Co 0.0000 0.2828 0.5000
Co 0.0000 0.5000 0.0000
Co 0.0074 0.5037 0.3456

Summary:
Energy relative to the elements, kJ per mole of atoms: -4
DOS at the Fermi energy, states/eV per cell: 62.1

***

Entry 9:
La6Co | PBE-GGA | relaxed

Cell lengths 12.4393, 11.5681, 6.6084 Å; angles 90.00, 90.00, 90.00 degrees
Space group Pnma (No. 62)
One atom of each set of equivalent atoms:
La 0.0055 0.0713 0.2445
La 0.0074 0.2500 0.7693
La 0.2434 0.2500 0.4056
La 0.2469 0.5879 0.4195
Co 0.1068 0.7500 0.5950

Summary:
Energy relative to the elements, kJ per mole of atoms: -3
DOS at the Fermi energy, states/eV per cell: 44.8

***

Entry 10:
La4Co5 | PBE-GGA | relaxed

Cell lengths 9.3920, 9.3920, 4.3907 Å; angles 90.00, 90.00, 90.00 degrees
Space group I4/mmm (No. 139)
One atom of each set of equivalent atoms:
La 0.0000 0.2821 0.0000
Co 0.0000 0.0000 0.0000
Co 0.1272 0.1272 0.5000

Summary:
Energy relative to the elements, kJ per mole of atoms: 11
ΔE to the lowest computed polymorph, eV/f.u.: 0.00
DOS at the Fermi energy, states/eV per cell: 23.0

***

Entry 11:
LaCo3 | PBE-GGA | relaxed

Cell lengths 4.2330, 3.9152, 4.5925 Å; angles 90.00, 106.54, 90.00 degrees
Space group P2/m (No. 10)
One atom of each set of equivalent atoms:
La 0.0000 0.0000 0.0000
Co 0.2698 0.5000 0.6097
Co 0.5000 0.0000 0.5000

Summary:
Energy relative to the elements, kJ per mole of atoms: 20
DOS at the Fermi energy, states/eV per cell: 3.4

***

Entry 12:
La2Co | PBE-GGA | relaxed

Cell lengths 3.7563, 14.5432, 5.8987 Å; angles 90.00, 90.00, 90.00 degrees
Space group Cmcm (No. 63)
One atom of each set of equivalent atoms:
La 0.0000 0.0499 0.2500
La 0.0000 0.2152 0.7500
Co 0.0000 0.4046 0.2500

Summary:
Energy relative to the elements, kJ per mole of atoms: -1
DOS at the Fermi energy, states/eV per cell: 12.8

***

Entry 13:
LaCo3 | PBE-GGA | relaxed

Cell lengths 4.0476, 4.0476, 7.4992 Å; angles 90.00, 90.00, 90.00 degrees
Space group I4/mmm (No. 139)
One atom of each set of equivalent atoms:
La 0.0000 0.0000 0.0000
Co 0.0000 0.0000 0.5000
Co 0.0000 0.5000 0.2500

Summary:
Energy relative to the elements, kJ per mole of atoms: 36
DOS at the Fermi energy, states/eV per cell: 15.2

***

Entry 14:
La5Co4 | PBE-GGA | relaxed

Cell lengths 8.4334, 8.4334, 5.6493 Å; angles 90.00, 90.00, 90.00 degrees
Space group I4/mmm (No. 139)
One atom of each set of equivalent atoms:
La 0.0000 0.0000 0.0000
La 0.1986 0.1986 0.5000
Co 0.0000 0.3561 0.0000

Summary:
Energy relative to the elements, kJ per mole of atoms: 25
ΔE to the lowest computed polymorph, eV/f.u.: 3.04
DOS at the Fermi energy, states/eV per cell: 15.3

***

Entry 15:
La3Co | PBE-GGA | relaxed

Cell lengths 3.7538, 3.6658, 8.6733 Å; angles 90.00, 97.97, 90.00 degrees
Space group P2/m (No. 10)
One atom of each set of equivalent atoms:
La 0.0000 0.0000 0.0000
La 0.3967 0.5000 0.6797
Co 0.0000 0.0000 0.5000

Summary:
Energy relative to the elements, kJ per mole of atoms: 3
DOS at the Fermi energy, states/eV per cell: 5.1

***

Entry 16:
La3Co2 | PBE-GGA | relaxed

Cell lengths 4.4982, 4.4982, 7.1924 Å; angles 90.00, 90.00, 120.00 degrees
Space group P-3m1 (No. 164)
One atom of each set of equivalent atoms:
La 0.0000 0.0000 0.0000
La 0.3333 0.6667 0.3304
Co 0.3333 0.6667 0.8526

Summary:
Energy relative to the elements, kJ per mole of atoms: -3
ΔE to the lowest computed polymorph, eV/f.u.: 0.29
DOS at the Fermi energy, states/eV per cell: 4.2

***

Entry 17:
La2Co | PBE-GGA | relaxed

Cell lengths 6.9495, 6.9495, 6.9495 Å; angles 90.00, 90.00, 90.00 degrees
Space group Pa-3 (No. 205)
One atom of each set of equivalent atoms:
La 0.1728 0.1728 0.1728
Co 0.0000 0.0000 0.5000

Summary:
Energy relative to the elements, kJ per mole of atoms: -8
DOS at the Fermi energy, states/eV per cell: 11.6

***

Entry 18:
LaCo5 | PBE-GGA | relaxed

Cell lengths 5.0282, 5.0282, 3.9703 Å; angles 90.00, 90.00, 120.00 degrees
Space group P6/mmm (No. 191)
One atom of each set of equivalent atoms:
La 0.0000 0.0000 0.0000
Co 0.0000 0.5000 0.5000
Co 0.3333 0.6667 0.0000

Summary:
Energy relative to the elements, kJ per mole of atoms: -2
DOS at the Fermi energy, states/eV per cell: 10.2

***

Entry 19:
Li2LaCo2 | PBE-GGA | relaxed

Cell lengths 4.0025, 4.0025, 11.5724 Å; angles 90.00, 90.00, 90.00 degrees
Space group I4/mmm (No. 139)
One atom of each set of equivalent atoms:
Li 0.0000 0.5000 0.2500
La 0.0000 0.0000 0.0000
Co 0.0000 0.0000 0.4066

Summary:
Energy relative to the elements, kJ per mole of atoms: 15
ΔE to the lowest computed polymorph, eV/f.u.: 0.00
DOS at the Fermi energy, states/eV per cell: 9.5

***

Entry 20:
LiLaCo | PBE-GGA | relaxed

Cell lengths 6.3804, 6.3804, 6.3804 Å; angles 90.00, 90.00, 90.00 degrees
Space group F-43m (No. 216)
One atom of each set of equivalent atoms:
Li 0.0000 0.0000 0.0000
La 0.0000 0.0000 0.5000
Co 0.2500 0.2500 0.2500

Summary:
Energy relative to the elements, kJ per mole of atoms: 22
ΔE to the lowest computed polymorph, eV/f.u.: 0.74
DOS at the Fermi energy, states/eV per cell: 15.6